1.
Compound: K2InRu
Source: Alexandria via LeMat-Bulk
Functional: PBE-GGA
Structure: relaxed

Results
Its crystal system is tetragonal. The formation enthalpy at 0 K is 871 meV per atom.

Lattice parameters (Å, degrees): 4.6200 4.6200 5.6990 90.00 90.00 90.00
Space group P4/mmm (No. 123)
One atom of each set of equivalent atoms:
K: 0.0000 0.0000 0.2436 (multiplicity 2)
In: 0.5000 0.5000 0.5000 (multiplicity 1)
Ru: 0.5000 0.5000 0.0000 (multiplicity 1)

***

2.
Compound: Cr2Co
Source: Alexandria via LeMat-Bulk
Functional: PBE-GGA
Structure: relaxed

Results
Its crystal system is cubic. The formation enthalpy at 0 K is 278 meV per atom.

Lattice parameters (Å, degrees): 6.5354 6.5354 6.5354 90.00 90.00 90.00
Space group Fd-3m (No. 227, origin choice 2)
One atom of each set of equivalent atoms:
Cr: 0.0000 0.0000 0.0000 (multiplicity 16)
Co: 0.1250 0.1250 0.6250 (multiplicity 8)

***

3.
Compound: ScSiH2
Source: Alexandria via LeMat-Bulk
Functional: PBE-GGA
Structure: relaxed

Results
Its crystal system is tetragonal.

Lattice parameters (Å, degrees): 3.8376 3.8376 11.8553 90.00 90.00 90.00
Space group I-42d (No. 122)
One atom of each set of equivalent atoms:
Sc: 0.0000 0.0000 0.0000 (multiplicity 4)
Si: 0.0000 0.0000 0.5000 (multiplicity 4)
H: 0.1990 0.2500 0.6250 (multiplicity 8)

***

4.
Compound: Cs2PaBi2Te6
Source: Alexandria via LeMat-Bulk
Functional: PBE-GGA
Structure: relaxed

Results
Its crystal system is monoclinic. The value obtained for the energy relative to the elements, uncorrected is -692 meV/atom.

Lattice parameters (Å, degrees): 7.9101 13.6789 9.5604 90.00 106.61 90.00
Space group C2/m (No. 12)
One atom of each set of equivalent atoms:
Cs: 0.0000 0.1689 0.0000 (multiplicity 4)
Pa: 0.0000 0.0000 0.5000 (multiplicity 2)
Bi: 0.0000 0.3307 0.5000 (multiplicity 4)
Te: 0.2295 0.1624 0.6899 (multiplicity 8)
Te: 0.2391 0.5000 0.6879 (multiplicity 4)

***

Number 1: calculated total energy -2.68 eV per atom. Number 2: calculated total energy -8.51 eV per atom. Number 3: calculated total energy -4.63 eV per atom. Number 4: calculated total energy -4.13 eV per atom.